*1*
Material: HoLuIr
Method: DFT, PBE
State: relaxed

Properties
As for the space-group type: Pnma, No. 62.

Cell and atoms, written as CIF:
```
data_HoLuIr
_cell_length_a 7.1246
_cell_length_b 4.5630
_cell_length_c 8.6600
_cell_angle_alpha 90.00
_cell_angle_beta 90.00
_cell_angle_gamma 90.00
_space_group_name_H-M_alt 'P 1'
_space_group_IT_number 1
_space_group_name_Hall 'P 1'
loop_
_atom_site_label
_atom_site_type_symbol
_atom_site_fract_x
_atom_site_fract_y
_atom_site_fract_z
Ho1 Ho 0.1428 0.2500 0.9191
Ho2 Ho 0.3572 0.7500 0.4191
Ho3 Ho 0.8572 0.7500 0.0809
Ho4 Ho 0.6428 0.2500 0.5809
Ir1 Ir 0.7411 0.2500 0.9062
Ir2 Ir 0.7589 0.7500 0.4062
Ir3 Ir 0.2411 0.2500 0.5938
Ir4 Ir 0.2589 0.7500 0.0938
Lu1 Lu 0.5093 0.2500 0.1616
Lu2 Lu 0.4907 0.7500 0.8384
Lu3 Lu 0.9907 0.7500 0.6616
Lu4 Lu 0.0093 0.2500 0.3384
```

***

*2*
Material: HoLuIr
Method: DFT, PBE
State: relaxed

Properties
As for the space-group type: Pnma, No. 62.

Cell and atoms, written as CIF:
```
data_HoLuIr
_cell_length_a 7.1517
_cell_length_b 4.5115
_cell_length_c 8.6683
_cell_angle_alpha 90.00
_cell_angle_beta 90.00
_cell_angle_gamma 90.00
_space_group_name_H-M_alt 'P 1'
_space_group_IT_number 1
_space_group_name_Hall 'P 1'
loop_
_atom_site_label
_atom_site_type_symbol
_atom_site_fract_x
_atom_site_fract_y
_atom_site_fract_z
Ir1 Ir 0.7537 0.7500 0.0945
Ir2 Ir 0.2463 0.2500 0.9055
Ir3 Ir 0.7463 0.2500 0.5945
Ir4 Ir 0.2537 0.7500 0.4055
Lu1 Lu 0.8583 0.7500 0.4221
Lu2 Lu 0.1417 0.2500 0.5779
Lu3 Lu 0.3583 0.7500 0.0779
Lu4 Lu 0.6417 0.2500 0.9221
Ho1 Ho 0.4900 0.7500 0.6645
Ho2 Ho 0.5100 0.2500 0.3355
Ho3 Ho 0.0100 0.2500 0.1645
Ho4 Ho 0.9900 0.7500 0.8355
```

***

*3*
Material: HoLuIr
Method: DFT, PBE
State: relaxed

Properties
As for the space-group type: F-43m, No. 216.

Cell and atoms, written as CIF:
```
data_HoLuIr
_cell_length_a 4.6588
_cell_length_b 4.6588
_cell_length_c 4.6588
_cell_angle_alpha 60.00
_cell_angle_beta 60.00
_cell_angle_gamma 60.00
_space_group_name_H-M_alt 'P 1'
_space_group_IT_number 1
_space_group_name_Hall 'P 1'
loop_
_atom_site_label
_atom_site_type_symbol
_atom_site_fract_x
_atom_site_fract_y
_atom_site_fract_z
Ho1 Ho 0.2500 0.2500 0.2500
Ir1 Ir 0.7500 0.7500 0.7500
Lu1 Lu 0.0000 0.0000 0.0000
```

***

*2* ends up most stable, edging out the next structure by 33 meV per atom.

***

*1*
Material: NaHoIr
Method: DFT, PBE
State: relaxed

Properties
As for the space-group type: F-43m, No. 216.

Cell and atoms, written as CIF:
```
data_NaHoIr
_cell_length_a 4.6780
_cell_length_b 4.6780
_cell_length_c 4.6780
_cell_angle_alpha 60.00
_cell_angle_beta 60.00
_cell_angle_gamma 60.00
_space_group_name_H-M_alt 'P 1'
_space_group_IT_number 1
_space_group_name_Hall 'P 1'
loop_
_atom_site_label
_atom_site_type_symbol
_atom_site_fract_x
_atom_site_fract_y
_atom_site_fract_z
Ho1 Ho 0.7500 0.7500 0.7500
Na1 Na 0.2500 0.2500 0.2500
Ir1 Ir 0.0000 0.0000 0.0000
```

***

*2*
Material: NaHoIr
Method: DFT, PBE
State: relaxed

Properties
As for the space-group type: F-43m, No. 216.

Cell and atoms, written as CIF:
```
data_NaHoIr
_cell_length_a 4.6716
_cell_length_b 4.6716
_cell_length_c 4.6716
_cell_angle_alpha 60.00
_cell_angle_beta 60.00
_cell_angle_gamma 60.00
_space_group_name_H-M_alt 'P 1'
_space_group_IT_number 1
_space_group_name_Hall 'P 1'
loop_
_atom_site_label
_atom_site_type_symbol
_atom_site_fract_x
_atom_site_fract_y
_atom_site_fract_z
Na1 Na 0.7500 0.7500 0.7500
Ho1 Ho 0.0000 0.0000 0.0000
Ir1 Ir 0.2500 0.2500 0.2500
```

***

*1* ends up most stable, edging out the next structure by 356 meV per atom.

***

*1*
Material: Nd3Ho3Te2Ir
Method: DFT, PBE
State: relaxed

Properties
As for the space-group type: P-62m, No. 189.

Cell and atoms, written as CIF:
```
data_Nd3Ho3Te2Ir
_cell_length_a 8.4626
_cell_length_b 8.4626
_cell_length_c 4.0606
_cell_angle_alpha 90.00
_cell_angle_beta 90.00
_cell_angle_gamma 120.00
_space_group_name_H-M_alt 'P 1'
_space_group_IT_number 1
_space_group_name_Hall 'P 1'
loop_
_atom_site_label
_atom_site_type_symbol
_atom_site_fract_x
_atom_site_fract_y
_atom_site_fract_z
Te1 Te 0.6667 0.3333 0.5000
Te2 Te 0.3333 0.6667 0.5000
Ho1 Ho 0.7641 0.7641 0.5000
Ho2 Ho 0.0000 0.2359 0.5000
Ho3 Ho 0.2359 0.0000 0.5000
Nd1 Nd 0.0000 0.5978 0.0000
Nd2 Nd 0.4022 0.4022 0.0000
Nd3 Nd 0.5978 0.0000 0.0000
Ir1 Ir 0.0000 0.0000 0.0000
```

***

*2*
Material: Nd3Ho3Te2Ir
Method: DFT, PBE
State: relaxed

Properties
As for the space-group type: P-62m, No. 189.

Cell and atoms, written as CIF:
```
data_Nd3Ho3Te2Ir
_cell_length_a 8.5642
_cell_length_b 8.5642
_cell_length_c 3.9622
_cell_angle_alpha 90.00
_cell_angle_beta 90.00
_cell_angle_gamma 120.00
_space_group_name_H-M_alt 'P 1'
_space_group_IT_number 1
_space_group_name_Hall 'P 1'
loop_
_atom_site_label
_atom_site_type_symbol
_atom_site_fract_x
_atom_site_fract_y
_atom_site_fract_z
Nd1 Nd 0.7524 0.7524 0.5000
Nd2 Nd 0.0000 0.2476 0.5000
Nd3 Nd 0.2476 0.0000 0.5000
Ir1 Ir 0.0000 0.0000 0.0000
Ho1 Ho 0.0000 0.5998 0.0000
Ho2 Ho 0.5998 0.0000 0.0000
Ho3 Ho 0.4002 0.4002 0.0000
Te1 Te 0.3333 0.6667 0.5000
Te2 Te 0.6667 0.3333 0.5000
```

***

*1* ends up most stable, edging out the next structure by 143 meV per atom.

***

*1*
Material: Ho2Ir2O5
Method: DFT, PBE
State: relaxed

Properties
As for the space-group type: P4/mmm, No. 123.

Cell and atoms, written as CIF:
```
data_Ho2Ir2O5
_cell_length_a 6.9925
_cell_length_b 3.9037
_cell_length_c 3.9037
_cell_angle_alpha 90.00
_cell_angle_beta 90.00
_cell_angle_gamma 90.00
_space_group_name_H-M_alt 'P 1'
_space_group_IT_number 1
_space_group_name_Hall 'P 1'
loop_
_atom_site_label
_atom_site_type_symbol
_atom_site_fract_x
_atom_site_fract_y
_atom_site_fract_z
O1 O 0.5000 0.5000 0.5000
O2 O 0.7490 0.5000 0.0000
O3 O 0.7490 0.0000 0.5000
O4 O 0.2510 0.0000 0.5000
O5 O 0.2510 0.5000 0.0000
Ir1 Ir 0.1910 0.5000 0.5000
Ir2 Ir 0.8090 0.5000 0.5000
Ho1 Ho 0.5000 0.0000 0.0000
Ho2 Ho 0.0000 0.0000 0.0000
```

***

*2*
Material: Ho2Ir2O5
Method: DFT, PBE
State: relaxed

Properties
As for the space-group type: P4/mmm, No. 123.

Cell and atoms, written as CIF:
```
data_Ho2Ir2O5
_cell_length_a 9.1850
_cell_length_b 3.5910
_cell_length_c 3.5910
_cell_angle_alpha 90.00
_cell_angle_beta 90.00
_cell_angle_gamma 90.00
_space_group_name_H-M_alt 'P 1'
_space_group_IT_number 1
_space_group_name_Hall 'P 1'
loop_
_atom_site_label
_atom_site_type_symbol
_atom_site_fract_x
_atom_site_fract_y
_atom_site_fract_z
Ho1 Ho 0.2655 0.5000 0.5000
Ho2 Ho 0.7345 0.5000 0.5000
O1 O 0.1279 0.5000 0.0000
O2 O 0.8721 0.0000 0.5000
O3 O 0.5000 0.5000 0.5000
O4 O 0.8721 0.5000 0.0000
O5 O 0.1279 0.0000 0.5000
Ir1 Ir 0.5000 0.0000 0.0000
Ir2 Ir 0.0000 0.0000 0.0000
```

***

*1* ends up most stable, edging out the next structure by 250 meV per atom.

***

*1*
Material: HoIrPd
Method: DFT, PBE
State: relaxed

Properties
As for the space-group type: F-43m, No. 216.

Cell and atoms, written as CIF:
```
data_HoIrPd
_cell_length_a 4.5124
_cell_length_b 4.5124
_cell_length_c 4.5124
_cell_angle_alpha 60.00
_cell_angle_beta 60.00
_cell_angle_gamma 60.00
_space_group_name_H-M_alt 'P 1'
_space_group_IT_number 1
_space_group_name_Hall 'P 1'
loop_
_atom_site_label
_atom_site_type_symbol
_atom_site_fract_x
_atom_site_fract_y
_atom_site_fract_z
Ho1 Ho 0.7500 0.7500 0.7500
Ir1 Ir 0.0000 0.0000 0.0000
Pd1 Pd 0.2500 0.2500 0.2500
```

***

*2*
Material: HoIrPd
Method: DFT, PBE
State: relaxed

Properties
As for the space-group type: F-43m, No. 216.

Cell and atoms, written as CIF:
```
data_HoIrPd
_cell_length_a 4.4952
_cell_length_b 4.4952
_cell_length_c 4.4952
_cell_angle_alpha 60.00
_cell_angle_beta 60.00
_cell_angle_gamma 60.00
_space_group_name_H-M_alt 'P 1'
_space_group_IT_number 1
_space_group_name_Hall 'P 1'
loop_
_atom_site_label
_atom_site_type_symbol
_atom_site_fract_x
_atom_site_fract_y
_atom_site_fract_z
Ho1 Ho 0.0000 0.0000 0.0000
Ir1 Ir 0.2500 0.2500 0.2500
Pd1 Pd 0.7500 0.7500 0.7500
```

***

*1* ends up most stable, edging out the next structure by 209 meV per atom.

***

*1*
Material: Pr3Ho3Te2Ir
Method: DFT, PBE
State: relaxed

Properties
As for the space-group type: P-62m, No. 189.

Cell and atoms, written as CIF:
```
data_Pr3Ho3Te2Ir
_cell_length_a 8.4963
_cell_length_b 8.4963
_cell_length_c 4.0795
_cell_angle_alpha 90.00
_cell_angle_beta 90.00
_cell_angle_gamma 120.00
_space_group_name_H-M_alt 'P 1'
_space_group_IT_number 1
_space_group_name_Hall 'P 1'
loop_
_atom_site_label
_atom_site_type_symbol
_atom_site_fract_x
_atom_site_fract_y
_atom_site_fract_z
Pr1 Pr 0.0000 0.5971 0.0000
Pr2 Pr 0.4029 0.4029 0.0000
Pr3 Pr 0.5971 0.0000 0.0000
Te1 Te 0.6667 0.3333 0.5000
Te2 Te 0.3333 0.6667 0.5000
Ho1 Ho 0.0000 0.2345 0.5000
Ho2 Ho 0.7655 0.7655 0.5000
Ho3 Ho 0.2345 0.0000 0.5000
Ir1 Ir 0.0000 0.0000 0.0000
```

***

*2*
Material: Pr3Ho3Te2Ir
Method: DFT, PBE
State: relaxed

Properties
As for the space-group type: P-62m, No. 189.

Cell and atoms, written as CIF:
```
data_Pr3Ho3Te2Ir
_cell_length_a 8.6212
_cell_length_b 8.6212
_cell_length_c 3.9576
_cell_angle_alpha 90.00
_cell_angle_beta 90.00
_cell_angle_gamma 120.00
_space_group_name_H-M_alt 'P 1'
_space_group_IT_number 1
_space_group_name_Hall 'P 1'
loop_
_atom_site_label
_atom_site_type_symbol
_atom_site_fract_x
_atom_site_fract_y
_atom_site_fract_z
Ho1 Ho 0.5971 0.0000 0.0000
Ho2 Ho 0.4029 0.4029 0.0000
Ho3 Ho 0.0000 0.5971 0.0000
Te1 Te 0.6667 0.3333 0.5000
Te2 Te 0.3333 0.6667 0.5000
Pr1 Pr 0.2480 0.0000 0.5000
Pr2 Pr 0.7520 0.7520 0.5000
Pr3 Pr 0.0000 0.2480 0.5000
Ir1 Ir 0.0000 0.0000 0.0000
```

***

*1* ends up most stable, edging out the next structure by 163 meV per atom.

***

*1*
Material: SmHoIr
Method: DFT, PBE
State: relaxed

Properties
As for the space-group type: Pnma, No. 62.

Cell and atoms, written as CIF:
```
data_SmHoIr
_cell_length_a 7.1971
_cell_length_b 4.6832
_cell_length_c 8.8565
_cell_angle_alpha 90.00
_cell_angle_beta 90.00
_cell_angle_gamma 90.00
_space_group_name_H-M_alt 'P 1'
_space_group_IT_number 1
_space_group_name_Hall 'P 1'
loop_
_atom_site_label
_atom_site_type_symbol
_atom_site_fract_x
_atom_site_fract_y
_atom_site_fract_z
Ir1 Ir 0.7652 0.7500 0.9088
Ir2 Ir 0.2652 0.7500 0.5912
Ir3 Ir 0.7348 0.2500 0.4088
Ir4 Ir 0.2348 0.2500 0.0912
Ho1 Ho 0.9925 0.7500 0.1601
Ho2 Ho 0.4925 0.7500 0.3399
Ho3 Ho 0.5075 0.2500 0.6601
Ho4 Ho 0.0075 0.2500 0.8399
Sm1 Sm 0.8574 0.7500 0.5849
Sm2 Sm 0.1426 0.2500 0.4151
Sm3 Sm 0.6426 0.2500 0.0849
Sm4 Sm 0.3574 0.7500 0.9151
```

***

*2*
Material: SmHoIr
Method: DFT, PBE
State: relaxed

Properties
As for the space-group type: F-43m, No. 216.

Cell and atoms, written as CIF:
```
data_SmHoIr
_cell_length_a 4.7222
_cell_length_b 4.7222
_cell_length_c 4.7222
_cell_angle_alpha 60.00
_cell_angle_beta 60.00
_cell_angle_gamma 60.00
_space_group_name_H-M_alt 'P 1'
_space_group_IT_number 1
_space_group_name_Hall 'P 1'
loop_
_atom_site_label
_atom_site_type_symbol
_atom_site_fract_x
_atom_site_fract_y
_atom_site_fract_z
Ho1 Ho 0.0000 0.0000 0.0000
Ir1 Ir 0.7500 0.7500 0.7500
Sm1 Sm 0.2500 0.2500 0.2500
```

***

*3*
Material: SmHoIr
Method: DFT, PBE
State: relaxed

Properties
As for the space-group type: Pnma, No. 62.

Cell and atoms, written as CIF:
```
data_SmHoIr
_cell_length_a 7.2702
_cell_length_b 4.6489
_cell_length_c 8.7414
_cell_angle_alpha 90.00
_cell_angle_beta 90.00
_cell_angle_gamma 90.00
_space_group_name_H-M_alt 'P 1'
_space_group_IT_number 1
_space_group_name_Hall 'P 1'
loop_
_atom_site_label
_atom_site_type_symbol
_atom_site_fract_x
_atom_site_fract_y
_atom_site_fract_z
Ho1 Ho 0.3593 0.7500 0.0791
Ho2 Ho 0.6407 0.2500 0.9209
Ho3 Ho 0.8593 0.7500 0.4209
Ho4 Ho 0.1407 0.2500 0.5791
Sm1 Sm 0.9892 0.7500 0.8330
Sm2 Sm 0.5108 0.2500 0.3330
Sm3 Sm 0.4892 0.7500 0.6670
Sm4 Sm 0.0108 0.2500 0.1670
Ir1 Ir 0.7498 0.2500 0.5916
Ir2 Ir 0.7502 0.7500 0.0916
Ir3 Ir 0.2502 0.7500 0.4084
Ir4 Ir 0.2498 0.2500 0.9084
```

***

*3* ends up most stable, edging out the next structure by 38 meV per atom.

***

*1*
Material: Ho3Te5Ir
Method: DFT, PBE
State: relaxed

Properties
As for the space-group type: P-62m, No. 189.

Cell and atoms, written as CIF:
```
data_Ho3Te5Ir
_cell_length_a 8.6014
_cell_length_b 8.6014
_cell_length_c 3.7855
_cell_angle_alpha 90.00
_cell_angle_beta 90.00
_cell_angle_gamma 120.00
_space_group_name_H-M_alt 'P 1'
_space_group_IT_number 1
_space_group_name_Hall 'P 1'
loop_
_atom_site_label
_atom_site_type_symbol
_atom_site_fract_x
_atom_site_fract_y
_atom_site_fract_z
Te1 Te 0.6667 0.3333 0.5000
Te2 Te 0.3333 0.6667 0.5000
Te3 Te 0.0000 0.2326 0.5000
Te4 Te 0.7674 0.7674 0.5000
Te5 Te 0.2326 0.0000 0.5000
Ho1 Ho 0.3538 0.3538 0.0000
Ho2 Ho 0.6462 0.0000 0.0000
Ho3 Ho 0.0000 0.6462 0.0000
Ir1 Ir 0.0000 0.0000 0.0000
```

***

*2*
Material: Ho3Te5Ir
Method: DFT, PBE
State: relaxed

Properties
As for the space-group type: P-62m, No. 189.

Cell and atoms, written as CIF:
```
data_Ho3Te5Ir
_cell_length_a 8.5336
_cell_length_b 8.5336
_cell_length_c 4.1337
_cell_angle_alpha 90.00
_cell_angle_beta 90.00
_cell_angle_gamma 120.00
_space_group_name_H-M_alt 'P 1'
_space_group_IT_number 1
_space_group_name_Hall 'P 1'
loop_
_atom_site_label
_atom_site_type_symbol
_atom_site_fract_x
_atom_site_fract_y
_atom_site_fract_z
Ho1 Ho 0.2633 0.0000 0.5000
Ho2 Ho 0.7367 0.7367 0.5000
Ho3 Ho 0.0000 0.2633 0.5000
Te1 Te 0.0000 0.6915 0.0000
Te2 Te 0.3333 0.6667 0.5000
Te3 Te 0.3085 0.3085 0.0000
Te4 Te 0.6667 0.3333 0.5000
Te5 Te 0.6915 0.0000 0.0000
Ir1 Ir 0.0000 0.0000 0.0000
```

***

*2* ends up most stable, edging out the next structure by 80 meV per atom.